(1)
Computed, not measured: a relaxed structure of Rb3NiW at the PBE level of DFT.

E_form in eV/f.u.: 8.54
Energy relative to the lowest polymorph listed for this composition in meV/atom: 0

Unit cell a=6.306 b=6.306 c=6.306 alpha=90.00 beta=90.00 gamma=90.00
Sites, in units of the cell vectors:
Rb 0.000 0.000 0.500
Rb 0.000 0.500 0.000
Rb 0.500 0.000 0.000
Ni 0.000 0.000 0.000
W 0.500 0.500 0.500

***

(2)
Computed, not measured: a relaxed structure of CdTe2 at the PBE level of DFT.

Energy relative to the elements, uncorrected in eV per atom: 0.2131

Unit cell a=5.966 b=5.966 c=2.970 alpha=90.00 beta=90.00 gamma=120.00
Sites, in units of the cell vectors:
Cd 0.000 0.000 0.000
Te 0.333 0.667 0.500
Te 0.667 0.333 0.500

***

(3)
Computed, not measured: a relaxed structure of Be2CoH6 at the PBE level of DFT.

E_tot in eV/atom: -3.663

Unit cell a=4.022 b=4.022 c=4.022 alpha=60.00 beta=60.00 gamma=60.00
Sites, in units of the cell vectors:
Be 0.250 0.250 0.250
Be 0.750 0.750 0.750
Co 0.000 0.000 0.000
H 0.270 0.270 0.730
H 0.270 0.730 0.270
H 0.270 0.730 0.730
H 0.730 0.270 0.270
H 0.730 0.270 0.730
H 0.730 0.730 0.270